## TaTi2Os4 (PBE-GGA)

Data for a relaxed TaTi2Os4 crystal.

Its space group is No. 139. The total energy is -0.7636 Ry per atom. The calculation puts the calculated density at 15.0 g cm⁻³. Its formation energy is -0.023 eV/atom.

a = 5.3027 Å, b = 5.3027 Å, c = 5.3027 Å
α = 109.82°, β = 109.30°, γ = 109.30°
With the nearest neighbours (Å) after each atom.
Positions (direct):
Os 0.5000 0.0000 0.0000  2 Ta 2.65, 4 Ti 2.65
Os 0.0000 0.5000 0.0000  4 Ti 2.65, 2 Ta 2.65
Os 0.5000 0.5000 0.5000  4 Ti 2.65, 2 Ta 2.65
Ti 0.5000 0.0000 0.5000  8 Os 2.65
Ti 0.5000 0.5000 0.0000  8 Os 2.65
Ta 0.0000 0.0000 0.0000  8 Os 2.65
Os 0.0000 0.0000 0.5000  4 Ti 2.65, 2 Ta 2.65